AlSnRu2S: relaxed, PBE.

abc: 4.3604 5.2118 4.3604
angles: 90.00 90.00 90.00
Last column: nearest neighbours and their distance in Å.
Sites, in units of the cell vectors:
1 Ru 0.0000 0.0000 0.5000  2 S 2.18
2 Ru 0.5000 0.0000 0.0000  2 S 2.18
3 S 0.0000 0.0000 0.0000  4 Ru 2.18
4 Sn 0.0000 0.5000 0.0000  2 S 2.61
5 Al 0.5000 0.5000 0.5000  4 Sn 3.08, 8 Ru 3.40

Results
**ΔE_f (raw)**: 14.8 kcal/mol of atoms
**Electronic total energy**: -0.200 Ha/atom
**Total moment**: 0.0000 μB/atom

Ba6PtN: relaxed, PBE.

abc: 7.8052 7.8052 7.6234
angles: 90.24 90.24 119.82
Last column: nearest neighbours and their distance in Å.
Sites, in units of the cell vectors:
1 Ba 0.2897 0.9996 0.2241  1 N 2.83, 1 Pt 3.10
2 Ba 0.9996 0.2897 0.2241  1 N 2.83, 1 Pt 3.10
3 Ba 0.0004 0.7103 0.7759  1 N 2.83, 1 Pt 3.10
4 Ba 0.7103 0.0004 0.7759  1 N 2.83, 1 Pt 3.10
5 Ba 0.2892 0.2892 0.7792  1 N 2.83, 1 Pt 3.09
6 Ba 0.7108 0.7108 0.2208  1 N 2.83, 1 Pt 3.09
7 Pt 0.0000 0.0000 0.5000  6 Ba 3.09-3.10
8 N 0.0000 0.0000 0.0000  6 Ba 2.83

Results
**ΔE_f (raw)**: -7.6 kcal/mol of atoms
**Electronic total energy**: -0.131 Ha/atom
**Total moment**: 0.0000 μB/atom

TePAu: relaxed, PBE.

abc: 3.8808 5.9910 7.5513
angles: 103.24 98.18 108.15
Last column: nearest neighbours and their distance in Å.
Sites, in units of the cell vectors:
1 Te 0.1395 0.3377 0.8478  2 Au 2.73-2.78, 1 Te 3.02
2 Te 0.7001 0.7995 0.8162  1 P 2.50
3 P 0.5263 0.7845 0.4809  1 P 2.22, 1 Au 2.48
4 P 0.2826 0.3896 0.3211  1 P 2.22, 3 Au 2.42-2.47
5 Au 0.1404 0.0385 0.4424  3 P 2.42-2.49
6 Au 0.7240 0.3771 0.1161  2 P 2.45-2.47, 1 Te 2.73

Results
**ΔE_f (raw)**: 1.5 kcal/mol of atoms
**Electronic total energy**: -0.143 Ha/atom
**Polymorph energy (0 for the lowest one)**: 59 meV/atom
**Total moment**: 0.0000 μB/atom

Ba3Hg: relaxed, PBE.

abc: 6.2926 6.2926 6.2926
angles: 60.00 60.00 60.00
Last column: nearest neighbours and their distance in Å.
Sites, in units of the cell vectors:
1 Hg 0.7500 0.7500 0.7500  8 Ba 3.85
2 Ba 0.0000 0.0000 0.0000  4 Hg 3.85, 4 Ba 3.85
3 Ba 0.2500 0.2500 0.2500  8 Ba 3.85
4 Ba 0.5000 0.5000 0.5000  4 Ba 3.85, 4 Hg 3.85

Results
**Electronic total energy**: -0.058 Ha/atom
**Polymorph energy (0 for the lowest one)**: 209 meV/atom
**Total moment**: 0.0001 μB/atom

PmZrIn2: relaxed, PBE.

abc: 3.8410 3.8410 6.8578
angles: 90.00 90.00 90.00
Last column: nearest neighbours and their distance in Å.
Sites, in units of the cell vectors:
1 In 0.0000 0.0000 0.7760  1 In 3.07, 4 Zr 3.12, 4 Pm 3.31
2 In 0.0000 0.0000 0.2240  1 In 3.07, 4 Zr 3.12, 4 Pm 3.31
3 Zr 0.5000 0.5000 0.0000  8 In 3.12, 2 Pm 3.43
4 Pm 0.5000 0.5000 0.5000  8 In 3.31, 2 Zr 3.43

Results
**Electronic total energy**: -0.184 Ha/atom
**Total moment**: 0.0263 μB/atom

CaTcSCl2: relaxed, PBE.

abc: 5.0564 5.0564 5.5577
angles: 90.00 90.00 90.00
Last column: nearest neighbours and their distance in Å.
Sites, in units of the cell vectors:
1 S 0.0000 0.0000 0.5000  2 Ca 2.78
2 Ca 0.0000 0.0000 0.0000  4 Cl 2.53, 2 S 2.78
3 Tc 0.5000 0.5000 0.5000  4 S 3.58, 8 Cl 3.76
4 Cl 0.0000 0.5000 0.0000  2 Ca 2.53
5 Cl 0.5000 0.0000 0.0000  2 Ca 2.53

Results
**ΔE_f (raw)**: -4.9 kcal/mol of atoms
**Electronic total energy**: -0.156 Ha/atom
**Polymorph energy (0 for the lowest one)**: 493 meV/atom
**Total moment**: 1.0028 μB/atom

TbGa8Os2: relaxed, PBE.

abc: 4.8030 6.7311 6.7311
angles: 98.50 98.58 98.58
Last column: nearest neighbours and their distance in Å.
Sites, in units of the cell vectors:
1 Tb 0.5000 0.0000 0.0000  12 Ga 3.03-3.37
2 Ga 0.8968 0.9026 0.6471  2 Os 2.49-2.73, 3 Ga 2.61-2.75
3 Ga 0.8968 0.6471 0.9026  2 Os 2.49-2.73, 3 Ga 2.61-2.75
4 Ga 0.2509 0.6289 0.6289  2 Os 2.66, 5 Ga 2.69-2.91
5 Ga 0.5000 0.7026 0.2974  2 Os 2.41
6 Ga 0.5000 0.2974 0.7026  2 Os 2.41
7 Ga 0.7491 0.3711 0.3711  2 Os 2.66, 5 Ga 2.69-2.91
8 Ga 0.1032 0.3529 0.0974  2 Os 2.49-2.73, 3 Ga 2.61-2.75
9 Ga 0.1032 0.0974 0.3529  2 Os 2.49-2.73, 3 Ga 2.61-2.75
10 Os 0.0000 0.2820 0.7180  6 Ga 2.41-2.66
11 Os 0.0000 0.7180 0.2820  6 Ga 2.41-2.66

Results
**Electronic total energy**: -0.179 Ha/atom
**Total moment**: 0.0000 μB/atom

CeSCl: relaxed, PBE.

abc: 5.4301 8.5459 8.5457
angles: 63.00 75.39 75.39
Last column: nearest neighbours and their distance in Å.
Sites, in units of the cell vectors:
1 S 0.2370 0.6599 0.9099  3 Ce 2.71-2.73
2 S 0.7631 0.8401 0.5901  3 Ce 2.71-2.73
3 S 0.7630 0.3401 0.0901  3 Ce 2.71-2.73
4 S 0.2369 0.1599 0.4099  3 Ce 2.71-2.73
5 Cl 0.2394 0.4031 0.6531  4 Ce 3.01-3.10
6 Cl 0.2393 0.9031 0.1531  4 Ce 3.01-3.10
7 Cl 0.7606 0.5969 0.3469  4 Ce 3.01-3.10
8 Cl 0.7607 0.0969 0.8469  4 Ce 3.01-3.10
9 Ce 0.6548 0.5017 0.7517  3 S 2.71-2.73, 1 Cl 3.01
10 Ce 0.6547 0.0017 0.2517  3 S 2.71-2.73, 1 Cl 3.01
11 Ce 0.3452 0.4983 0.2483  3 S 2.71-2.73, 1 Cl 3.01
12 Ce 0.3453 0.9983 0.7483  3 S 2.71-2.73, 1 Cl 3.01

Results
**ΔE_f (raw)**: -45.9 kcal/mol of atoms
**Electronic total energy**: -0.219 Ha/atom
**Total moment**: 0.3334 μB/atom

Which formula does entry 2 have?
Ba6PtN